The following is a PBE with a Hubbard U calculation of an optimized crystal structure of MnFeF2, from the Alexandria database.

Summary:
Crystal system ... cubic
Energy above the most stable polymorph in this dataset ... 204.4 meV per atom

Cell lengths 4.167, 4.167, 4.167 Å; angles 60.00, 60.00, 60.00 degrees
Site moments in Bohr magnetons follow the coordinates.
Atoms (fractional coordinates):
Mn 0.000 0.000 0.000  4.63
Fe 0.500 0.500 0.500  3.06
F 0.250 0.250 0.250  0.08
F 0.750 0.750 0.750  0.08